1.
Density functional theory data (PBE) for a relaxed CuMoPb2 crystal.

## Properties
Distance to the lowest polymorph of the same formula = 0.4683 eV per atom
Formation energy from the elements = 349 kJ/mol of formula units

```
CuMoPb2
1.0
-4.2984 6.2604 0.9827
-1.2150 0.3513 -7.5522
-5.2653 1.5330 -2.9636
Pb Cu Mo
4 2 2
direct
0.5980 0.1250 0.2500
0.1520 0.6250 0.2500
0.3750 0.4020 0.7500
0.8750 0.8480 0.7500
0.5000 0.5000 0.0000
0.2500 0.7500 0.5000
0.0000 0.0000 0.0000
0.7500 0.2500 0.5000
```



2.
Density functional theory data (PBE) for a relaxed RbInCl3 crystal.

## Properties
ΔE_f (raw) = -1.2633 eV/atom

```
RbInCl3
1.0
-1.7019 3.8157 -1.3488
-6.5954 -2.2358 1.9972
1.4895 3.9736 9.3673
Cl Rb In
6 2 2
direct
0.7504 0.5153 0.3450
0.2496 0.0153 0.6550
0.7498 0.2500 0.9185
0.7504 0.9847 0.3450
0.2496 0.4847 0.6550
0.2502 0.7500 0.0815
0.7500 0.7500 0.8479
0.2500 0.2500 0.1521
0.7490 0.2500 0.6639
0.2510 0.7500 0.3361
```



| no. | magnetic moment (μB per atom) |
| --- | --- |
| 1 | 0.67 |
| 2 | 0.00 |